# 1
# CeBePt

A relaxed CeBePt crystal (PBE, the Alexandria database).

Properties
Relative energy among the computed polymorphs   0.0 meV/atom
Space-group type   No. 194

Lattice parameters (Å, degrees): 4.132 4.132 7.711 90.00 90.00 119.96
Last column: magnetic moment on the atom in μB.
Fractional coordinates of all 6 atoms:
Ce 0.000 0.500 0.500  0.54
Pt 0.667 0.833 0.250  0.00
Pt 0.333 0.167 0.750  0.00
Be 0.667 0.833 0.750  0.02
Ce 0.000 0.500 0.000  0.54
Be 0.333 0.167 0.250  0.02

# 2
# Ce2BePt3

A relaxed Ce2BePt3 crystal (PBE, the Alexandria database).

Properties
Space-group type   No. 166

Lattice parameters (Å, degrees): 5.150 5.150 5.150 65.70 65.70 65.70
Last column: magnetic moment on the atom in μB.
Fractional coordinates of all 6 atoms:
Ce 0.620 0.620 0.620  0.34
Ce 0.380 0.380 0.380  0.34
Pt 0.000 0.500 0.000  0.00
Pt 0.000 0.000 0.500  0.00
Be 0.000 0.000 0.000  0.00
Pt 0.500 0.000 0.000  0.00

# 3
# Ce2BePt6

A relaxed Ce2BePt6 crystal (PBE, the Alexandria database).

Properties
Space-group type   No. 12

Lattice parameters (Å, degrees): 5.643 5.600 6.077 78.17 90.00 120.25
Last column: magnetic moment on the atom in μB.
Fractional coordinates of all 9 atoms:
Pt 0.876 0.752 0.709  -0.02
Pt 0.619 0.744 0.303  -0.01
Ce 0.644 0.287 0.152  0.37
Pt 0.381 0.256 0.697  -0.01
Pt 0.876 0.256 0.697  -0.01
Pt 0.124 0.248 0.291  -0.02
Be 0.000 0.000 0.000  0.00
Ce 0.356 0.713 0.848  0.37
Pt 0.124 0.744 0.303  -0.01

# 4
# CeBePt

A relaxed CeBePt crystal (PBE, the Alexandria database).

Properties
Relative energy among the computed polymorphs   1021.7 meV/atom
Space-group type   No. 107

Lattice parameters (Å, degrees): 2.840 2.840 7.578 100.80 100.80 90.00
Fractional coordinates of all 3 atoms:
Ce 0.132 0.132 0.263
Pt 0.785 0.785 0.571
Be 0.933 0.933 0.866

Here are the calculated final energy numbers, same order: -5.96; -6.52; -6.70; -4.94 (eV per atom).
Here are the calculated energy relative to the elements numbers, same order: -724; -896; -943; 298 (meV/atom).